1.
Compound: NdY12Ho5
Source: the Alexandria database
Functional: PBE
Structure: optimized geometry

volume = 576.3 Å³/cell
energy = -5.82 eV per atom
energy of formation from the pure elements = 0.02 eV per atom

```
data_NdY12Ho5
_cell_length_a 10.695
_cell_length_b 10.695
_cell_length_c 5.038
_cell_angle_alpha 90.00
_cell_angle_beta 90.00
_cell_angle_gamma 90.11
_space_group_name_H-M_alt 'P 1'
_space_group_IT_number 1
loop_
_space_group_symop_operation_xyz
'x,y,z'
loop_
_atom_site_label
_atom_site_fract_x
_atom_site_fract_y
_atom_site_fract_z
Nd1 0.000 0.000 0.000
Y1 0.001 0.666 0.000
Y2 0.167 0.167 0.500
Y3 0.168 0.501 0.500
Y4 0.334 0.999 0.000
Y5 0.335 0.335 0.000
Y6 0.499 0.832 0.500
Y7 0.501 0.168 0.500
Y8 0.665 0.665 0.000
Y9 0.666 0.001 0.000
Y10 0.832 0.499 0.500
Y11 0.833 0.833 0.500
Y12 0.999 0.334 0.000
Ho1 0.168 0.832 0.500
Ho2 0.334 0.666 0.000
Ho3 0.500 0.500 0.500
Ho4 0.666 0.334 0.000
Ho5 0.832 0.168 0.500
```

***

2.
Compound: U4CN2
Source: the Alexandria database
Functional: PBE
Structure: optimized geometry

volume = 214.5 Å³/cell
energy = -10.78 eV per atom

```
data_U4CN2
_cell_length_a 11.341
_cell_length_b 3.264
_cell_length_c 6.223
_cell_angle_alpha 90.00
_cell_angle_beta 111.36
_cell_angle_gamma 90.00
_space_group_name_H-M_alt 'P 1'
_space_group_IT_number 1
loop_
_space_group_symop_operation_xyz
'x,y,z'
loop_
_atom_site_label
_atom_site_fract_x
_atom_site_fract_y
_atom_site_fract_z
U1 0.102 0.000 0.454
U2 0.152 0.500 0.987
U3 0.348 0.000 0.013
U4 0.398 0.500 0.546
U5 0.602 0.500 0.454
U6 0.652 0.000 0.987
U7 0.848 0.500 0.013
U8 0.898 0.000 0.546
C1 0.000 0.000 0.000
C2 0.500 0.500 0.000
N1 0.240 0.500 0.680
N2 0.260 0.000 0.320
N3 0.740 0.000 0.680
N4 0.760 0.500 0.320
```

***

Q: Which of these has the highest energy?
A: NdY12Ho5

***

What did the second record say?
Compound: U4CN2
Source: the Alexandria database
Functional: PBE
Structure: optimized geometry

volume = 214.5 Å³/cell
energy = -10.78 eV per atom

```
data_U4CN2
_cell_length_a 11.341
_cell_length_b 3.264
_cell_length_c 6.223
_cell_angle_alpha 90.00
_cell_angle_beta 111.36
_cell_angle_gamma 90.00
_space_group_name_H-M_alt 'P 1'
_space_group_IT_number 1
loop_
_space_group_symop_operation_xyz
'x,y,z'
loop_
_atom_site_label
_atom_site_fract_x
_atom_site_fract_y
_atom_site_fract_z
U1 0.102 0.000 0.454
U2 0.152 0.500 0.987
U3 0.348 0.000 0.013
U4 0.398 0.500 0.546
U5 0.602 0.500 0.454
U6 0.652 0.000 0.987
U7 0.848 0.500 0.013
U8 0.898 0.000 0.546
C1 0.000 0.000 0.000
C2 0.500 0.500 0.000
N1 0.240 0.500 0.680
N2 0.260 0.000 0.320
N3 0.740 0.000 0.680
N4 0.760 0.500 0.320
```

***

Repeat the second record exactly.
Compound: U4CN2
Source: the Alexandria database
Functional: PBE
Structure: optimized geometry

volume = 214.5 Å³/cell
energy = -10.78 eV per atom

```
data_U4CN2
_cell_length_a 11.341
_cell_length_b 3.264
_cell_length_c 6.223
_cell_angle_alpha 90.00
_cell_angle_beta 111.36
_cell_angle_gamma 90.00
_space_group_name_H-M_alt 'P 1'
_space_group_IT_number 1
loop_
_space_group_symop_operation_xyz
'x,y,z'
loop_
_atom_site_label
_atom_site_fract_x
_atom_site_fract_y
_atom_site_fract_z
U1 0.102 0.000 0.454
U2 0.152 0.500 0.987
U3 0.348 0.000 0.013
U4 0.398 0.500 0.546
U5 0.602 0.500 0.454
U6 0.652 0.000 0.987
U7 0.848 0.500 0.013
U8 0.898 0.000 0.546
C1 0.000 0.000 0.000
C2 0.500 0.500 0.000
N1 0.240 0.500 0.680
N2 0.260 0.000 0.320
N3 0.740 0.000 0.680
N4 0.760 0.500 0.320
```